[1]
First-principles (PBE) data for a relaxed CsMgAl2Zn crystal, as listed in Alexandria.

Properties
SG = No. 123
DOS at the Fermi energy = 3.1 states/eV/f.u.
Energy of formation from the pure elements = 605 meV per atom

Cell lengths 5.052, 6.404, 5.052 Å; angles 90.00, 90.00, 90.00 degrees
Positions (direct):
Cs (0.000, 0.500, 0.000)
Zn (0.000, 0.000, 0.000)
Mg (0.500, 0.500, 0.500)
Al (0.000, 0.000, 0.500)
Al (0.500, 0.000, 0.000)

[2]
First-principles (PBE) data for a relaxed Sc2Os crystal, as listed in Alexandria.

Properties
SG = No. 227
DOS at the Fermi energy = 3.1 states/eV/f.u.
Energy of formation from the pure elements = -313 meV per atom

Cell lengths 8.683, 8.683, 8.683 Å; angles 60.00, 60.00, 60.00 degrees
Positions (direct):
Os (0.713, 0.862, 0.713)
Os (0.362, 0.213, 0.713)
Os (0.713, 0.213, 0.362)
Os (0.713, 0.213, 0.713)
Os (0.287, 0.138, 0.287)
Os (0.638, 0.787, 0.287)
Os (0.287, 0.787, 0.638)
Os (0.287, 0.787, 0.287)
Sc (0.500, 0.000, 0.500)
Sc (0.500, 0.000, 0.000)
Sc (0.000, 0.000, 0.500)
Sc (0.500, 0.500, 0.500)
Sc (0.318, 0.818, 0.932)
Sc (0.932, 0.818, 0.318)
Sc (0.932, 0.818, 0.932)
Sc (0.318, 0.432, 0.318)
Sc (0.318, 0.432, 0.932)
Sc (0.932, 0.432, 0.318)
Sc (0.682, 0.182, 0.068)
Sc (0.068, 0.182, 0.682)
Sc (0.068, 0.182, 0.068)
Sc (0.682, 0.568, 0.682)
Sc (0.682, 0.568, 0.068)
Sc (0.068, 0.568, 0.682)

[3]
First-principles (PBE) data for a relaxed Pu3Sn2Au4 crystal, as listed in Alexandria.

Properties
SG = No. 12
DOS at the Fermi energy = 23.1 states/eV/f.u.
Energy of formation from the pure elements = -485 meV per atom

Cell lengths 4.987, 5.870, 9.222 Å; angles 122.00, 90.00, 115.14 degrees
Positions (direct):
Pu (0.666, 0.331, 0.670)
Pu (0.000, 0.000, 0.000)
Pu (0.334, 0.669, 0.330)
Sn (0.612, 0.224, 0.279)
Sn (0.388, 0.776, 0.721)
Au (0.720, 0.441, 0.052)
Au (0.280, 0.559, 0.948)
Au (0.943, 0.886, 0.607)
Au (0.057, 0.114, 0.393)

[4]
First-principles (PBE) data for a relaxed Er3BiH crystal, as listed in Alexandria.

Properties
Energy above the most stable polymorph in this dataset = 0.14 eV/f.u.
SG = No. 221
DOS at the Fermi energy = 7.2 states/eV/f.u.

Cell lengths 4.814, 4.814, 4.814 Å; angles 90.00, 90.00, 90.00 degrees
Positions (direct):
H (0.000, 0.000, 0.000)
Bi (0.500, 0.500, 0.500)
Er (0.000, 0.500, 0.000)
Er (0.000, 0.000, 0.500)
Er (0.500, 0.000, 0.000)

[5]
First-principles (PBE) data for a relaxed CeHoZnN3 crystal, as listed in Alexandria.

Properties
SG = No. 11
E_form (uncorrected) = -91.8 kJ per mole of atoms

Cell lengths 3.400, 7.348, 7.165 Å; angles 98.73, 90.00, 90.00 degrees
Positions (direct):
Ce (0.750, 0.817, 0.802)
Ce (0.250, 0.183, 0.198)
Ho (0.250, 0.643, 0.172)
Ho (0.750, 0.357, 0.828)
Zn (0.250, 0.103, 0.597)
Zn (0.750, 0.897, 0.403)
N (0.250, 0.812, 0.528)
N (0.750, 0.865, 0.123)
N (0.750, 0.404, 0.151)
N (0.750, 0.188, 0.472)
N (0.250, 0.596, 0.849)
N (0.250, 0.135, 0.877)

[6]
First-principles (PBE) data for a relaxed Tl2TePbSe4 crystal, as listed in Alexandria.

Properties
SG = No. 74
E_form (uncorrected) = -27.4 kJ per mole of atoms
DOS at the Fermi energy = 1.9 states/eV/f.u.

Cell lengths 8.795, 8.795, 8.906 Å; angles 120.43, 120.43, 90.14 degrees
Positions (direct):
Tl (0.500, 0.000, 0.000)
Tl (0.500, 0.000, 0.500)
Tl (0.000, 0.000, 0.500)
Tl (0.500, 0.500, 0.000)
Te (0.500, 0.500, 0.500)
Te (0.000, 0.000, 0.000)
Pb (0.000, 0.500, 0.000)
Pb (0.000, 0.500, 0.500)
Se (0.222, 0.761, 0.992)
Se (0.739, 0.278, 0.508)
Se (0.261, 0.722, 0.492)
Se (0.778, 0.239, 0.008)
Se (0.754, 0.746, 0.971)
Se (0.754, 0.746, 0.529)
Se (0.246, 0.254, 0.471)
Se (0.246, 0.254, 0.029)

Number 1: magnetization 0.00 μB per formula unit, mass density 2.8 g/cm3, total DFT energy (no corrections) -1.6361 eV per atom. Number 2: magnetization 0.00 μB per formula unit, mass density 8.0 g/cm3, total DFT energy (no corrections) -8.2777 eV per atom. Number 3: magnetization 16.95 μB per formula unit, mass density 14.7 g/cm3, total DFT energy (no corrections) -7.6085 eV per atom. Number 4: magnetization 0.01 μB per formula unit, mass density 10.6 g/cm3, total DFT energy (no corrections) -4.5671 eV per atom. Number 5: magnetization 0.00 μB per formula unit, mass density 7.7 g/cm3, total DFT energy (no corrections) -7.0784 eV per atom. Number 6: magnetization 0.00 μB per formula unit, mass density 7.3 g/cm3, total DFT energy (no corrections) -3.4744 eV per atom.